Entry 1:
A relaxed NdHo4Er10 crystal. Source: the Alexandria database, functional PBE.

a b c (Å): 9.728 9.728 10.713
angles (deg): 90.00 90.00 90.00
Space group I4/m (No. 87)
Asymmetric unit:
1 Nd 0.000 0.000 0.000 [2 per cell]
2 Ho 0.055 0.291 0.500 [8 per cell]
3 Er 0.000 0.500 0.250 [4 per cell]
4 Er 0.122 0.220 0.169 [16 per cell]

Values from the calculation:
- mass density (g cm⁻³) = 8.1
- VASP energy (eV for the cell shown) = -122.8
- calculated formation energy (eV/atom) = 0.4874

Entry 2:
A relaxed BaGa2Te2 crystal. Source: the Alexandria database, functional PBE.

a b c (Å): 8.942 8.942 4.456
angles (deg): 90.00 90.00 90.00
Space group P4/mbm (No. 127)
Asymmetric unit:
1 Ba 0.000 0.000 0.000 [2 per cell]
2 Ga 0.112 0.388 0.500 [4 per cell]
3 Te 0.168 0.668 0.000 [4 per cell]

Values from the calculation:
- raw formation energy (eV/atom) = -0.436
- mass density (g cm⁻³) = 5.0
- VASP energy (eV for the cell shown) = -32.9

Entry 3:
A relaxed Ac2PrEu crystal. Source: the Alexandria database, functional PBE.

a b c (Å): 5.566 5.566 5.345
angles (deg): 90.00 90.00 90.00
Space group P4/mmm (No. 123)
Asymmetric unit:
1 Ac 0.000 0.500 0.000 [2 per cell]
2 Pr 0.000 0.000 0.500 [1 per cell]
3 Eu 0.500 0.500 0.500 [1 per cell]

Values from the calculation:
- mass density (g cm⁻³) = 7.5
- VASP energy (eV for the cell shown) = -23.1
- calculated formation energy (eV/atom) = 0.0389

Entry 4:
A relaxed Be5SiRh6 crystal. Source: the Alexandria database, functional PBE.

a b c (Å): 3.974 5.635 6.283
angles (deg): 90.00 108.36 90.00
Space group P2/m (No. 10)
Asymmetric unit:
1 Be 0.000 0.000 0.000 [1 per cell]
2 Be 0.328 0.500 0.658 [2 per cell]
3 Be 0.335 0.000 0.671 [2 per cell]
4 Si 0.000 0.500 0.000 [1 per cell]
5 Rh 0.168 0.248 0.335 [4 per cell]
6 Rh 0.500 0.248 0.000 [2 per cell]

Values from the calculation:
- raw formation energy (eV/atom) = -0.739
- mass density (g cm⁻³) = 8.6
- VASP energy (eV for the cell shown) = -77.0

Entry 5:
A relaxed ZrCd3Ag3 crystal. Source: the Alexandria database, functional PBE.

a b c (Å): 9.667 10.131 5.925
angles (deg): 90.00 90.00 90.00
Space group Cmmm (No. 65)
Asymmetric unit:
1 Zr 0.176 0.000 0.000 [4 per cell]
2 Cd 0.000 0.151 0.500 [4 per cell]
3 Cd 0.000 0.253 0.000 [4 per cell]
4 Cd 0.238 0.500 0.500 [4 per cell]
5 Ag 0.000 0.500 0.237 [4 per cell]
6 Ag 0.250 0.250 0.255 [8 per cell]

Values from the calculation:
- mass density (g cm⁻³) = 8.6
- VASP energy (eV for the cell shown) = -78.3
- calculated formation energy (eV/atom) = 0.0373

Entry 6:
A relaxed UGa2SiNi4 crystal. Source: the Alexandria database, functional PBE.

a b c (Å): 4.0334 4.0334 24.0202
angles (deg): 90.00 90.00 120.00
Space group R-3m (No. 166, hexagonal axes)
Asymmetric unit:
1 U 0.0000 0.0000 0.0000 [3 per cell]
2 Ga 0.0000 0.0000 0.2450 [6 per cell]
3 Si 0.0000 0.0000 0.5000 [3 per cell]
4 Ni 0.0000 0.0000 0.1363 [6 per cell]
5 Ni 0.0000 0.0000 0.4016 [6 per cell]

Values from the calculation:
- raw formation energy (eV/atom) = -0.325
- mass density (g cm⁻³) = 9.4
- VASP energy (eV for the cell shown) = -145.5

> Look up the mass density of the first one.

8.1 g cm⁻³

> Among the records above, which one has the highest mass density?

UGa2SiNi4

> Which formula does entry 2 have?

BaGa2Te2

> Which value of VASP energy does entry 3 give?

-23.1 eV for the cell shown